The following is a PBE+U calculation of crystalline MnCoTe2F at its relaxed geometry, from the Alexandria database.

Symmetry: P4/mmm
DOS at the Fermi energy, states/eV/cell: 2.692
E, eV/atom: -4.046

Unit cell a=4.843 b=4.982 c=4.843 alpha=90.00 beta=90.00 gamma=90.00
Last column: magnetic moment on the atom in μB.
Fractional coordinates of all 5 atoms:
Mn 0.000 0.500 0.000  4.61
F 0.500 0.500 0.500  0.09
Te 0.500 0.000 0.000  0.18
Co 0.000 0.000 0.000  1.37
Te 0.000 0.000 0.500  0.08